No. 1
This record from Alexandria via LeMat-Bulk describes a geometry-optimized Pm2YAu4 structure. The functional is PBE.

Calculated values
**Density of states at the Fermi level**: 5.039 states/eV/cell
**Total moment**: 0.00 μB/f.u.
**Density**: 10.7 g/cm3
**Calculated total energy**: -4.8341 eV/atom
**Energy relative to the elements**: -0.68 eV per atom

a = 5.273 Å, b = 5.273 Å, c = 7.506 Å
α = 110.56°, β = 110.56°, γ = 90.00°
Fractional coordinates of all 7 atoms:
Pm: 0.721 0.721 0.442
Pm: 0.279 0.279 0.558
Au: 0.116 0.616 0.233
Au: 0.616 0.116 0.233
Au: 0.384 0.884 0.767
Au: 0.884 0.384 0.767
Y: 0.000 0.000 0.000

No. 2
This record from Alexandria via LeMat-Bulk describes a geometry-optimized Dy3ScCd structure. The functional is PBE.

Calculated values
**Density of states at the Fermi level**: 16.132 states/eV/cell
**Total moment**: 0.00 μB/f.u.
**Density**: 7.5 g/cm3
**Calculated total energy**: -4.2299 eV/atom
**Energy relative to the elements**: -0.02 eV per atom
**Energy above the most stable polymorph in this dataset**: 0.0174 eV/atom

a = 3.449 Å, b = 8.066 Å, c = 10.904 Å
α = 107.21°, β = 99.10°, γ = 90.00°
Fractional coordinates of all 10 atoms:
Cd: 0.420 0.396 0.841
Cd: 0.580 0.604 0.159
Sc: 0.267 0.177 0.534
Sc: 0.733 0.823 0.466
Dy: 0.823 0.554 0.645
Dy: 0.984 0.771 0.969
Dy: 0.016 0.229 0.031
Dy: 0.177 0.446 0.355
Dy: 0.624 0.043 0.248
Dy: 0.376 0.957 0.752

No. 3
This record from Alexandria via LeMat-Bulk describes a geometry-optimized SbIrI2N structure. The functional is PBE.

Calculated values
**Density of states at the Fermi level**: 5.528 states/eV/cell
**Total moment**: 0.16 μB/f.u.
**Density**: 9.0 g/cm3
**Calculated total energy**: -3.3738 eV/atom
**Uncorrected formation energy**: 1508 meV/atom
**Energy above the most stable polymorph in this dataset**: 1.0049 eV/atom

a = 4.710 Å, b = 4.710 Å, c = 4.847 Å
α = 90.00°, β = 90.00°, γ = 90.00°
Last column: magnetic moment on the atom in μB.
Fractional coordinates of all 5 atoms:
N: 0.000 0.000 0.000  0.00
I: 0.500 0.000 0.000  0.02
I: 0.000 0.500 0.000  0.02
Sb: 0.000 0.000 0.500  0.00
Ir: 0.500 0.500 0.500  0.12

No. 4
This record from Alexandria via LeMat-Bulk describes a geometry-optimized NaYHgBi structure. The functional is PBE.

Calculated values
**Density of states at the Fermi level**: 3.510 states/eV/cell
**Total moment**: 0.00 μB/f.u.
**Density**: 7.9 g/cm3
**Calculated total energy**: -3.4053 eV/atom
**Energy relative to the elements**: -0.41 eV per atom

a = 5.375 Å, b = 5.375 Å, c = 5.375 Å
α = 60.00°, β = 60.00°, γ = 60.00°
Fractional coordinates of all 4 atoms:
Y: 0.750 0.750 0.750
Bi: 0.000 0.000 0.000
Hg: 0.500 0.500 0.500
Na: 0.250 0.250 0.250

No. 5
This record from Alexandria via LeMat-Bulk describes a geometry-optimized Na3LiTe structure. The functional is PBE.

Calculated values
**Density of states at the Fermi level**: 0.000 states/eV/cell
**Total moment**: 0.00 μB/f.u.
**Density**: 2.1 g/cm3
**Calculated total energy**: -1.8023 eV/atom
**Uncorrected formation energy**: 0 meV/atom
**Energy above the most stable polymorph in this dataset**: 0.2834 eV/atom

a = 5.446 Å, b = 5.446 Å, c = 5.446 Å
α = 90.00°, β = 90.00°, γ = 90.00°
Fractional coordinates of all 5 atoms:
Li: 0.000 0.000 0.000
Na: 0.000 0.500 0.000
Na: 0.000 0.000 0.500
Na: 0.500 0.000 0.000
Te: 0.500 0.500 0.500

No. 6
This record from Alexandria via LeMat-Bulk describes a geometry-optimized LaDy2Ho5 structure. The functional is PBE.

Calculated values
**Density of states at the Fermi level**: 20.020 states/eV/cell
**Total moment**: 0.00 μB/f.u.
**Density**: 8.4 g/cm3
**Calculated total energy**: -4.6031 eV/atom
**Energy relative to the elements**: 0.02 eV per atom
**Energy above the most stable polymorph in this dataset**: 0.0020 eV/atom

a = 5.021 Å, b = 7.125 Å, c = 14.256 Å
α = 90.00°, β = 90.00°, γ = 90.00°
Fractional coordinates of all 16 atoms:
Dy: 0.500 0.248 0.126
Dy: 0.500 0.252 0.626
Dy: 0.500 0.752 0.874
Dy: 0.500 0.748 0.374
La: 0.000 0.500 0.000
La: 0.000 0.000 0.500
Ho: 0.000 0.500 0.252
Ho: 0.000 0.500 0.748
Ho: 0.500 0.249 0.873
Ho: 0.000 0.000 0.000
Ho: 0.500 0.749 0.627
Ho: 0.000 0.500 0.500
Ho: 0.000 0.000 0.248
Ho: 0.500 0.251 0.373
Ho: 0.000 0.000 0.752
Ho: 0.500 0.751 0.127

No. 7
This record from Alexandria via LeMat-Bulk describes a geometry-optimized RbAuF2 structure. The functional is PBE.

Calculated values
**Density of states at the Fermi level**: 1.232 states/eV/cell
**Total moment**: 0.00 μB/f.u.
**Density**: 5.4 g/cm3
**Calculated total energy**: -3.0878 eV/atom
**Uncorrected formation energy**: -1091 meV/atom
**Energy above the most stable polymorph in this dataset**: 0.6292 eV/atom

a = 7.051 Å, b = 7.051 Å, c = 7.051 Å
α = 34.06°, β = 34.06°, γ = 34.06°
Fractional coordinates of all 4 atoms:
Rb: 0.000 0.000 0.000
F: 0.875 0.875 0.875
F: 0.125 0.125 0.125
Au: 0.500 0.500 0.500

No. 8
This record from Alexandria via LeMat-Bulk describes a geometry-optimized BaLiInBi2 structure. The functional is PBE.

Calculated values
**Density of states at the Fermi level**: 3.191 states/eV/cell
**Total moment**: 0.00 μB/f.u.
**Density**: 7.1 g/cm3
**Calculated total energy**: -3.2219 eV/atom
**Energy relative to the elements**: -0.35 eV per atom
**Energy above the most stable polymorph in this dataset**: 0.2044 eV/atom

a = 5.449 Å, b = 5.449 Å, c = 5.360 Å
α = 90.00°, β = 90.00°, γ = 90.00°
Fractional coordinates of all 5 atoms:
Li: 0.000 0.000 0.000
Ba: 0.500 0.500 0.500
Bi: 0.500 0.000 0.000
Bi: 0.000 0.500 0.000
In: 0.000 0.000 0.500